BaLi2ScI8 | PBE | relaxed

Raw formation energy: -1.12 eV/atom

Cell: 7.5065 7.5065 9.5748 Å, 90.00 90.00 120.00°
With the nearest neighbours (Å) after each atom.
Fractional positions:
Ba: 0.0000 0.0000 0.0000  6 I 3.82
Li: 0.3333 0.6667 0.7108  4 I 2.72-2.77
Li: 0.6667 0.3333 0.2892  4 I 2.72-2.77
Sc: 0.0000 0.0000 0.5000  6 I 2.88
I: 0.0260 0.7073 0.3184  1 Li 2.77, 1 Sc 2.88
I: 0.2927 0.3187 0.3184  1 Li 2.77, 1 Sc 2.88
I: 0.3187 0.0260 0.6816  1 Li 2.77, 1 Sc 2.88
I: 0.3333 0.6667 0.9947  1 Li 2.72
I: 0.6667 0.3333 0.0053  1 Li 2.72
I: 0.6813 0.9740 0.3184  1 Li 2.77, 1 Sc 2.88
I: 0.7073 0.6813 0.6816  1 Li 2.77, 1 Sc 2.88
I: 0.9740 0.2927 0.6816  1 Li 2.77, 1 Sc 2.88